Density functional theory data (PBE+U) for a geometry-optimized Ac3Zn2CrO9 structure.

```
15
Lattice="5.640 0.000 0.000 -2.820 4.884 0.000 0.000 0.000 6.954" Properties=species:S:1:pos:R:3 pbc="T T T"
Ac 0.000 0.000 0.000
Ac 0.000 3.256 4.696
Ac 2.820 1.628 2.258
Zn 0.000 3.256 1.189
Zn 2.820 1.628 5.764
Cr 0.000 0.000 3.477
O -1.410 2.442 0.000
O 0.000 1.566 2.355
O -1.464 4.101 2.355
O 1.356 0.783 4.598
O 2.820 0.000 0.000
O 1.410 2.442 0.000
O 1.464 4.101 2.355
O 4.283 0.783 4.598
O 2.820 3.318 4.598
```

Summary:
The value obtained for the total DFT energy (no corrections) is -6.83 eV/atom.